## Zr2ZnCdIn (PBE-GGA)

Data for crystalline Zr2ZnCdIn at its relaxed geometry.

energy	-3.660	eV/atom
volume	132.9	Å³/cell
Fermi-level density of states	2.9	states/eV/cell

a = 5.3036 Å, b = 5.3036 Å, c = 4.7259 Å
α = 90.00°, β = 90.00°, γ = 90.00°
Element x y z (fractional)
Zr1 0.0000 0.5000 0.0000
Zr2 0.5000 0.0000 0.0000
Zn1 0.0000 0.0000 0.5000
Cd1 0.0000 0.0000 0.0000
In1 0.5000 0.5000 0.5000